one.
Computed, not measured: a relaxed MgHgTe2N crystal at the PBE-GGA level of DFT.

Results
Total moment (μB per formula unit): 1.9
N(E_F) (states/eV/atom): 0.755
Symmetry: P4/mmm, No. 123

Unit cell a=5.789 b=5.789 c=3.911 alpha=90.00 beta=90.00 gamma=90.00
Each line ends with the local moment (μB).
Sites, in units of the cell vectors:
Mg  0.000  0.000  0.000  -0.01
Te  0.000  0.500  0.000  0.09
Te  0.500  0.000  0.000  0.09
Hg  0.500  0.500  0.500  0.00
N  0.000  0.000  0.500  1.06

=====

two.
Computed, not measured: a relaxed MgHgTe2N crystal at the PBE-GGA level of DFT.

Results
Total moment (μB per formula unit): 1.8
N(E_F) (states/eV/atom): 0.475
Symmetry: P4/mmm, No. 123

Unit cell a=5.840 b=5.840 c=4.066 alpha=90.00 beta=90.00 gamma=90.00
Each line ends with the local moment (μB).
Sites, in units of the cell vectors:
Te  0.500  0.000  0.000  0.12
Mg  0.500  0.500  0.500  0.00
Te  0.000  0.500  0.000  0.12
N  0.000  0.000  0.500  0.95
Hg  0.000  0.000  0.000  0.06

=====

Which of them is most stable, and which least? Most stable: one; least stable: two.

=====

one.
Computed, not measured: a relaxed NaMg3Hg crystal at the PBE-GGA level of DFT.

Results
Total moment (μB per formula unit): 0.0
N(E_F) (states/eV/atom): 0.441
Symmetry: Cmcm, No. 63

Unit cell a=5.605 b=6.259 c=7.872 alpha=113.42 beta=90.00 gamma=90.00
Sites, in units of the cell vectors:
Mg  0.500  0.000  0.000
Hg  0.750  0.171  0.341
Mg  0.750  0.586  0.659
Na  0.750  0.579  0.159
Mg  0.250  0.414  0.341
Mg  0.750  0.073  0.659
Mg  0.000  0.000  0.000
Mg  0.250  0.927  0.341
Hg  0.250  0.829  0.659
Na  0.250  0.421  0.841

=====

two.
Computed, not measured: a relaxed NaMg3Hg crystal at the PBE-GGA level of DFT.

Results
Total moment (μB per formula unit): 0.0
N(E_F) (states/eV/atom): 0.342
Symmetry: Pm-3m, No. 221

Unit cell a=5.317 b=5.317 c=5.317 alpha=90.00 beta=90.00 gamma=90.00
Sites, in units of the cell vectors:
Na  0.500  0.500  0.500
Hg  0.000  0.000  0.000
Mg  0.500  0.000  0.000
Mg  0.000  0.000  0.500
Mg  0.000  0.500  0.000

=====

Which of them is most stable, and which least? Most stable: one; least stable: two.

=====

one.
Computed, not measured: a relaxed Na2MgHg4 crystal at the PBE-GGA level of DFT.

Results
Total moment (μB per formula unit): 0.0
N(E_F) (states/eV/atom): 0.248
Symmetry: I4/mmm, No. 139

Unit cell a=4.887 b=4.887 c=8.365 alpha=106.98 beta=106.98 gamma=90.00
Sites, in units of the cell vectors:
Mg  0.000  0.000  0.000
Hg  0.393  0.893  0.786
Hg  0.607  0.107  0.214
Hg  0.893  0.393  0.786
Na  0.750  0.750  0.501
Na  0.250  0.250  0.499
Hg  0.107  0.607  0.214

=====

two.
Computed, not measured: a relaxed Na2MgHg4 crystal at the PBE-GGA level of DFT.

Results
Total moment (μB per formula unit): 0.0
N(E_F) (states/eV/atom): 0.477
Symmetry: Cmmm, No. 65

Unit cell a=5.029 b=3.338 c=12.105 alpha=97.92 beta=90.00 gamma=90.00
Sites, in units of the cell vectors:
Na  0.500  0.924  0.848
Mg  0.000  0.500  0.000
Hg  0.000  0.622  0.245
Hg  0.500  0.695  0.390
Na  0.500  0.076  0.152
Hg  0.500  0.305  0.610
Hg  0.000  0.378  0.755

=====

three.
Computed, not measured: a relaxed Na2MgHg4 crystal at the PBE-GGA level of DFT.

Results
Total moment (μB per formula unit): 0.0
N(E_F) (states/eV/atom): 0.505
Symmetry: I4/mmm, No. 139

Unit cell a=5.438 b=5.438 c=8.683 alpha=108.25 beta=108.25 gamma=90.00
Sites, in units of the cell vectors:
Hg  0.000  0.500  0.000
Hg  0.812  0.812  0.624
Hg  0.500  0.000  0.000
Mg  0.000  0.000  0.000
Na  0.383  0.383  0.766
Hg  0.188  0.188  0.376
Na  0.617  0.617  0.234

=====

Which of them is most stable, and which least? Most stable: one; least stable: three.

=====

one.
Computed, not measured: a relaxed Na2Mg2Hg crystal at the PBE-GGA level of DFT.

Results
Total moment (μB per formula unit): 0.0
N(E_F) (states/eV/atom): 0.513
Symmetry: P4/mbm, No. 127

Unit cell a=8.342 b=8.342 c=4.134 alpha=90.00 beta=90.00 gamma=90.00
Sites, in units of the cell vectors:
Mg  0.644  0.856  0.500
Na  0.846  0.654  0.000
Mg  0.356  0.144  0.500
Hg  0.000  0.000  0.000
Na  0.154  0.346  0.000
Mg  0.856  0.356  0.500
Mg  0.144  0.644  0.500
Na  0.346  0.846  0.000
Hg  0.500  0.500  0.000
Na  0.654  0.154  0.000

=====

two.
Computed, not measured: a relaxed Na2Mg2Hg crystal at the PBE-GGA level of DFT.

Results
Total moment (μB per formula unit): 0.0
N(E_F) (states/eV/atom): 0.398
Symmetry: P4/mbm, No. 127

Unit cell a=7.349 b=7.349 c=5.313 alpha=90.00 beta=90.00 gamma=90.00
Sites, in units of the cell vectors:
Mg  0.145  0.355  0.000
Na  0.170  0.670  0.500
Mg  0.355  0.855  0.000
Na  0.830  0.330  0.500
Mg  0.855  0.645  0.000
Na  0.670  0.830  0.500
Mg  0.645  0.145  0.000
Hg  0.500  0.500  0.000
Hg  0.000  0.000  0.000
Na  0.330  0.170  0.500

=====

Which of them is most stable, and which least? Most stable: two; least stable: one.